Entry 1:
Entry from the Alexandria database: SrIrBr2 after structural relaxation (PBE).

Properties
For the uncorrected energy, the calculation gives -4.070 eV/atom. The raw formation energy is -2.39 eV/f.u. Its energy above the lowest structure with this stoichiometry is 0.0000 eV/atom. The symmetry is C2/m (12).

Unit cell a=7.599 b=7.599 c=4.608 alpha=93.91 beta=93.91 gamma=32.49
Last column: magnetic moment on the atom in μB.
Element x y z (fractional)
Ir  0.750  0.750  0.750  0.79
Sr  0.250  0.250  0.250  -0.01
Br  0.603  0.603  0.483  0.08
Br  0.897  0.897  0.017  0.08



Entry 2:
Entry from the Alexandria database: SrIr2Br after structural relaxation (PBE).

Properties
For the uncorrected energy, the calculation gives -5.061 eV/atom. The raw formation energy is 0.83 eV/f.u. Its energy above the lowest structure with this stoichiometry is 0.4663 eV/atom. The symmetry is C2/m (12).

Unit cell a=5.866 b=5.866 c=4.759 alpha=92.69 beta=92.69 gamma=31.10
Element x y z (fractional)
Sr  0.750  0.750  0.750
Br  0.250  0.250  0.250
Ir  0.475  0.475  0.536
Ir  0.025  0.025  0.964



Entry 3:
Entry from the Alexandria database: SrIr2Br after structural relaxation (PBE).

Properties
For the uncorrected energy, the calculation gives -4.975 eV/atom. The raw formation energy is 1.18 eV/f.u. Its energy above the lowest structure with this stoichiometry is 0.5523 eV/atom. The symmetry is Pmmm (47).

Unit cell a=3.107 b=4.643 c=5.828 alpha=90.00 beta=90.00 gamma=90.00
Last column: magnetic moment on the atom in μB.
Element x y z (fractional)
Br  0.000  0.500  0.500  0.05
Ir  0.500  0.500  0.000  0.75
Ir  0.000  0.000  0.000  0.41
Sr  0.500  0.000  0.500  -0.01